Entry 1:
Crystalline SmHo4Th5 at its relaxed geometry, computed with GGA-PBE.

Unit cell a=3.530 b=8.375 c=11.315 alpha=87.81 beta=98.97 gamma=90.00
Atoms (fractional coordinates):
1 Ho 0.092 0.257 0.185
2 Ho 0.908 0.743 0.815
3 Ho 0.679 0.989 0.358
4 Ho 0.321 0.011 0.642
5 Th 0.115 0.672 0.229
6 Th 0.885 0.328 0.771
7 Th 0.236 0.337 0.472
8 Th 0.500 0.500 0.000
9 Th 0.764 0.663 0.528
10 Sm 0.500 0.000 0.000

The formation energy is 0.211 eV per atom. As for the final energy: -5.802 eV per atom. The volume comes out at 33.01 A^3/atom.


Entry 2:
Crystalline GaTeH at its relaxed geometry, computed with GGA-PBE.

Unit cell a=4.107 b=4.107 c=16.939 alpha=90.00 beta=90.00 gamma=120.00
Atoms (fractional coordinates):
1 Te 0.333 0.667 0.482
2 Te 0.667 0.333 0.148
3 Te 0.000 0.000 0.815
4 Ga 0.000 0.000 0.222
5 Ga 0.333 0.667 0.888
6 Ga 0.667 0.333 0.555
7 H 0.000 0.000 0.314
8 H 0.333 0.667 0.980
9 H 0.667 0.333 0.647

As for the final energy: -3.335 eV per atom. The volume comes out at 27.50 A^3/atom.


Entry 3:
Crystalline Pm2ZnGe2 at its relaxed geometry, computed with GGA-PBE.

Unit cell a=4.249 b=5.826 c=5.826 alpha=61.22 beta=68.61 gamma=68.61
Each line ends with the local moment (μB).
Atoms (fractional coordinates):
1 Pm 0.708 0.792 0.292  0.06
2 Pm 0.292 0.208 0.708  0.06
3 Zn 0.500 0.500 0.000  0.01
4 Ge 0.000 0.778 0.722  0.00
5 Ge 0.000 0.222 0.278  0.00

The formation energy is -0.642 eV per atom. As for the final energy: -4.644 eV per atom. The volume comes out at 22.90 A^3/atom.


Entry 4:
Crystalline Bi3AsS6 at its relaxed geometry, computed with GGA-PBE.

Unit cell a=3.930 b=12.021 c=12.296 alpha=108.16 beta=90.00 gamma=90.00
Atoms (fractional coordinates):
1 Bi 0.250 0.153 0.560
2 Bi 0.750 0.847 0.440
3 Bi 0.250 0.940 0.851
4 Bi 0.250 0.543 0.340
5 Bi 0.750 0.457 0.660
6 Bi 0.750 0.060 0.149
7 S 0.250 0.735 0.280
8 S 0.750 0.760 0.785
9 S 0.750 0.434 0.119
10 S 0.250 0.376 0.509
11 S 0.750 0.265 0.720
12 S 0.750 0.111 0.948
13 S 0.750 0.624 0.491
14 S 0.250 0.240 0.215
15 S 0.750 0.054 0.387
16 S 0.250 0.566 0.881
17 S 0.250 0.889 0.052
18 S 0.250 0.946 0.613
19 As 0.750 0.697 0.941
20 As 0.250 0.303 0.059

Its formation energy from raw total energies is -253 meV per atom. As for the final energy: -4.359 eV per atom. The volume comes out at 27.60 A^3/atom.


Entry 5:
Crystalline AlTe2N at its relaxed geometry, computed with GGA-PBE.

Unit cell a=4.744 b=4.744 c=4.744 alpha=60.00 beta=60.00 gamma=60.00
Atoms (fractional coordinates):
1 N 0.000 0.000 0.000
2 Te 0.750 0.750 0.750
3 Te 0.250 0.250 0.250
4 Al 0.500 0.500 0.500

Its formation energy from raw total energies is 1146 meV per atom. As for the final energy: -3.442 eV per atom. The volume comes out at 18.87 A^3/atom.


Entry 6:
Crystalline PmNpGe at its relaxed geometry, computed with GGA-PBE.

Unit cell a=3.655 b=4.906 c=4.906 alpha=120.00 beta=90.00 gamma=90.00
Each line ends with the local moment (μB).
Atoms (fractional coordinates):
1 Pm 0.706 0.333 0.667  0.23
2 Np 0.278 0.667 0.333  4.18
3 Ge 0.016 0.000 0.000  -0.05

The formation energy is 0.077 eV per atom. As for the final energy: -7.359 eV per atom. The volume comes out at 25.39 A^3/atom.